! Rb2NdMoO6 GGA+U optimized geometry; values from VASP
&SYSTEM
  ibrav = 0, nat = 10, ntyp = 4
/
ATOMIC_SPECIES
Rb 85.47 Rb.upf
Nd 144.24 Nd.upf
Mo 95.94 Mo.upf
O 16.00 O.upf
ATOMIC_POSITIONS crystal
Rb 0.333 0.667 0.413
Rb 0.667 0.333 0.587
Nd 0.000 0.000 0.000
Mo 0.000 0.000 0.500
O 0.134 0.268 0.698
O 0.134 0.866 0.698
O 0.268 0.134 0.302
O 0.732 0.866 0.698
O 0.866 0.134 0.302
O 0.866 0.732 0.302
CELL_PARAMETERS angstrom
6.614 0.000 0.000
-3.307 5.728 0.000
0.000 0.000 6.089
! magnetization = 0.104 μB per atom
! final energy = -61.9 eV per cell